LaCuSbI2 | the Alexandria database | GGA-PBE | optimized geometry; volume = 151.15 Å³/cell; formation energy from raw total energies = -31 kJ/mol of atoms; space-group type = No. 123
1.0
5.2480 0.0000 0.0000
0.0000 5.2480 0.0000
0.0000 0.0000 5.4880
Sb I Cu La
1 2 1 1
direct
0.0000 0.0000 0.5000 Sb
0.5000 0.0000 0.0000 I
0.0000 0.5000 0.0000 I
0.0000 0.0000 0.0000 Cu
0.5000 0.5000 0.5000 La



Dy5InRu | the Alexandria database | GGA-PBE | optimized geometry; volume = 389.96 Å³/cell; space-group type = No. 15; ΔH_f (0 K) = -0.17 eV per atom
1.0
5.9313 -0.3483 -0.0301
1.5515 5.7354 -0.0301
2.7815 2.0025 11.2615
Ru Dy In
2 10 2
direct
0.0000 0.0000 0.0000 Ru
0.0000 0.0000 0.5000 Ru
0.0814 0.4140 0.8762 Dy
0.7935 0.4556 0.4364 Dy
0.5444 0.2065 0.0636 Dy
0.4556 0.7935 0.9364 Dy
0.5860 0.9186 0.6238 Dy
0.2065 0.5444 0.5636 Dy
0.4140 0.0814 0.3762 Dy
0.9186 0.5860 0.1238 Dy
0.0084 0.9916 0.7500 Dy
0.9916 0.0084 0.2500 Dy
0.4012 0.5988 0.2500 In
0.5988 0.4012 0.7500 In



Sc3SnCl | the Alexandria database | GGA-PBE | optimized geometry; volume = 109.68 Å³/cell; energy relative to the lowest polymorph listed for this composition = 0 meV/atom; formation energy from raw total energies = -52 kJ/mol of atoms; space-group type = No. 221
1.0
4.7867 0.0000 0.0000
0.0000 4.7867 0.0000
0.0000 0.0000 4.7867
Sc Cl Sn
3 1 1
direct
0.0000 0.0000 0.5000 Sc
0.0000 0.5000 0.0000 Sc
0.5000 0.0000 0.0000 Sc
0.0000 0.0000 0.0000 Cl
0.5000 0.5000 0.5000 Sn



no.,uncorrected energy (eV per atom)
1,-3.57
2,-5.17
3,-5.51